i.
Compound: Pm3PdO6
Source: the Alexandria database
Functional: PBE-GGA
Structure: relaxed

Cell and atoms, written as POSCAR:
```
Pm3PdO6
1.0
4.949 2.857 3.716
-4.949 2.857 3.716
0.000 -5.715 3.716
Pm Pd O
6 2 12
Direct
0.064 0.754 0.573
0.246 0.427 0.936
0.427 0.936 0.246
0.573 0.064 0.754
0.754 0.573 0.064
0.936 0.246 0.427
0.000 0.000 0.000
0.500 0.500 0.500
0.039 0.709 0.916
0.084 0.961 0.291
0.179 0.437 0.600
0.291 0.084 0.961
0.400 0.821 0.563
0.437 0.600 0.179
0.563 0.400 0.821
0.600 0.179 0.437
0.709 0.916 0.039
0.821 0.563 0.400
0.916 0.039 0.709
0.961 0.291 0.084
```

SG	R-3, No. 148

=====

ii.
Compound: Pm3PdO6
Source: the Alexandria database
Functional: PBE-GGA
Structure: relaxed

Cell and atoms, written as POSCAR:
```
Pm3PdO6
1.0
5.679 0.000 0.000
0.000 5.860 0.000
-4.920 0.000 8.943
Pm Pd O
6 2 12
Direct
0.000 0.000 0.000
0.000 0.500 0.500
0.294 0.056 0.758
0.294 0.444 0.258
0.706 0.556 0.742
0.706 0.944 0.242
0.500 0.000 0.500
0.500 0.500 0.000
0.090 0.082 0.245
0.090 0.418 0.745
0.313 0.703 0.087
0.313 0.797 0.587
0.384 0.220 0.076
0.384 0.280 0.576
0.616 0.720 0.424
0.616 0.780 0.924
0.687 0.203 0.413
0.687 0.297 0.913
0.910 0.582 0.255
0.910 0.918 0.755
```

SG	P2_1/c, No. 14

=====

It is ii that is the least stable of them.

=====

i.
Compound: Pm3PdO
Source: the Alexandria database
Functional: PBE-GGA
Structure: relaxed

Cell and atoms, written as POSCAR:
```
Pm3PdO
1.0
4.853 0.000 0.000
0.000 4.853 0.000
0.000 0.000 4.853
Pm Pd O
3 1 1
Direct
0.000 0.000 0.500
0.000 0.500 0.000
0.500 0.000 0.000
0.500 0.500 0.500
0.000 0.000 0.000
```

SG	Pm-3m, No. 221

=====

ii.
Compound: Pm3PdO
Source: the Alexandria database
Functional: PBE-GGA
Structure: relaxed

Cell and atoms, written as POSCAR:
```
Pm3PdO
1.0
7.606 0.000 0.000
0.000 3.791 0.000
-2.452 0.000 8.063
Pm Pd O
6 2 2
Direct
0.083 0.000 0.337
0.297 0.000 0.034
0.337 0.500 0.691
0.663 0.500 0.309
0.703 0.000 0.966
0.917 0.000 0.663
0.000 0.500 0.000
0.500 0.000 0.500
0.000 0.500 0.500
0.500 0.500 0.000
```

SG	P2/m, No. 10

=====

It is i that is the least stable of them.

=====

i.
Compound: Pr3PdO6
Source: the Alexandria database
Functional: PBE-GGA
Structure: relaxed

Cell and atoms, written as POSCAR:
```
Pr3PdO6
1.0
5.168 2.984 3.321
-5.168 2.984 3.321
0.000 -5.968 3.321
Pr Pd O
6 2 12
Direct
0.106 0.617 0.785
0.215 0.894 0.383
0.383 0.215 0.894
0.617 0.785 0.106
0.785 0.106 0.617
0.894 0.383 0.215
0.000 0.000 0.000
0.500 0.500 0.500
0.061 0.310 0.915
0.085 0.939 0.690
0.200 0.548 0.442
0.310 0.915 0.061
0.442 0.200 0.548
0.452 0.558 0.800
0.548 0.442 0.200
0.558 0.800 0.452
0.690 0.085 0.939
0.800 0.452 0.558
0.915 0.061 0.310
0.939 0.690 0.085
```

SG	R-3, No. 148

=====

ii.
Compound: Pr3PdO6
Source: the Alexandria database
Functional: PBE-GGA
Structure: relaxed

Cell and atoms, written as POSCAR:
```
Pr3PdO6
1.0
4.730 -5.766 0.000
4.730 5.766 0.000
0.000 0.000 5.711
Pr Pd O
6 2 12
Direct
0.105 0.895 0.500
0.179 0.411 0.554
0.411 0.179 0.054
0.589 0.821 0.554
0.821 0.589 0.054
0.895 0.105 0.000
0.365 0.635 0.052
0.635 0.365 0.552
0.106 0.604 0.243
0.145 0.170 0.280
0.170 0.145 0.780
0.278 0.722 0.749
0.396 0.894 0.243
0.483 0.517 0.344
0.517 0.483 0.844
0.604 0.106 0.743
0.722 0.278 0.249
0.830 0.855 0.280
0.855 0.830 0.780
0.894 0.396 0.743
```

SG	Cmc2_1, No. 36

=====

It is ii that is the least stable of them.

=====

i.
Compound: Pu2PdO
Source: the Alexandria database
Functional: PBE-GGA
Structure: relaxed

Cell and atoms, written as POSCAR:
```
Pu2PdO
1.0
1.997 1.153 4.961
-1.997 1.153 4.961
0.000 -2.306 4.961
Pu Pd O
2 1 1
Direct
0.202 0.202 0.202
0.798 0.798 0.798
0.000 0.000 0.000
0.500 0.500 0.500
```

SG	R-3m, No. 166

=====

ii.
Compound: Pu2PdO
Source: the Alexandria database
Functional: PBE-GGA
Structure: relaxed

Cell and atoms, written as POSCAR:
```
Pu2PdO
1.0
3.109 0.000 0.000
0.000 3.109 0.000
0.000 0.000 7.426
Pu Pd O
2 1 1
Direct
0.000 0.000 0.209
0.000 0.000 0.791
0.500 0.500 0.500
0.500 0.500 0.000
```

SG	P4/mmm, No. 123

=====

iii.
Compound: Pu2PdO
Source: the Alexandria database
Functional: PBE-GGA
Structure: relaxed

Cell and atoms, written as POSCAR:
```
Pu2PdO
1.0
4.813 0.000 0.000
0.000 4.813 0.000
0.000 0.000 3.256
Pu Pd O
2 1 1
Direct
0.000 0.500 0.000
0.500 0.000 0.000
0.000 0.000 0.500
0.500 0.500 0.500
```

SG	P4/mmm, No. 123

=====

It is i that is the least stable of them.